Record 1
Entry from Alexandria: Ga2NiPb2 after structural relaxation (PBE-GGA).

POSCAR file:
```
Ga2NiPb2
1.0
6.5200 0.0000 0.0000
0.0000 6.5200 0.0000
0.0000 0.0000 5.2289
Ga Ni Pb
4 2 4
direct
0.1558 0.3442 0.0000 Ga
0.3442 0.8442 0.0000 Ga
0.6558 0.1558 0.0000 Ga
0.8442 0.6558 0.0000 Ga
0.0000 0.0000 0.0000 Ni
0.5000 0.5000 0.0000 Ni
0.1786 0.6786 0.5000 Pb
0.3214 0.1786 0.5000 Pb
0.6786 0.8214 0.5000 Pb
0.8214 0.3214 0.5000 Pb
```

Output
- Volume: 222 Å³ per cell
- Formation energy from the elements: 0.089 eV per atom
- DFT total energy: -3.761 eV/atom
- Symmetry: P4/mbm, No. 127
- Fermi-level density of states: 1.3 states/eV/f.u.
- Total magnetization: 0.00 μB/cell



Record 2
Entry from Alexandria: Ga2NiPb2 after structural relaxation (PBE-GGA).

POSCAR file:
```
Ga2NiPb2
1.0
-1.7922 1.7922 8.9795
1.7922 -1.7922 8.9795
1.7922 1.7922 -8.9795
Ga Ni Pb
2 1 2
direct
0.2500 0.7500 0.5000 Ga
0.7500 0.2500 0.5000 Ga
0.0000 0.0000 0.0000 Ni
0.4114 0.4114 0.0000 Pb
0.5886 0.5886 0.0000 Pb
```

Output
- Volume: 115 Å³ per cell
- Formation energy from the elements: 0.228 eV per atom
- DFT total energy: -3.622 eV/atom
- Symmetry: I4/mmm, No. 139
- Fermi-level density of states: 2.7 states/eV/f.u.
- Total magnetization: 0.00 μB/cell



Record 3
Entry from Alexandria: GaNi2Pb after structural relaxation (PBE-GGA).

POSCAR file:
```
GaNi2Pb
1.0
0.0000 3.1377 3.1377
3.1377 0.0000 3.1377
3.1377 3.1377 0.0000
Ga Ni Pb
1 2 1
direct
0.0000 0.0000 0.0000 Ga
0.2500 0.2500 0.2500 Ni
0.7500 0.7500 0.7500 Ni
0.5000 0.5000 0.5000 Pb
```

Output
- Volume: 62 Å³ per cell
- Formation energy from the elements: 0.109 eV per atom
- DFT total energy: -4.466 eV/atom
- Symmetry: Fm-3m, No. 225
- Fermi-level density of states: 1.7 states/eV/f.u.
- Total magnetization: 0.00 μB/cell



Record 4
Entry from Alexandria: GaNi2Pb after structural relaxation (PBE-GGA).

POSCAR file:
```
GaNi2Pb
1.0
-3.4720 3.4720 2.8495
3.4720 -3.4720 2.8495
3.4720 3.4720 -2.8495
Ga Ni Pb
2 4 2
direct
0.0000 0.0000 0.0000 Ga
0.7500 0.2500 0.5000 Ga
0.0817 0.6250 0.9567 Ni
0.3750 0.3317 0.4567 Ni
0.6683 0.1250 0.0433 Ni
0.8750 0.9183 0.5433 Ni
0.2500 0.7500 0.5000 Pb
0.5000 0.5000 0.0000 Pb
```

Output
- Volume: 137 Å³ per cell
- Formation energy from the elements: 0.251 eV per atom
- DFT total energy: -4.323 eV/atom
- Symmetry: I-42d, No. 122
- Fermi-level density of states: 2.2 states/eV/f.u.
- Total magnetization: 0.00 μB/cell



Record 5
Entry from Alexandria: GaReNi2Pb after structural relaxation (PBE-GGA).

POSCAR file:
```
GaReNi2Pb
1.0
4.7211 0.0000 0.0000
0.0000 4.7211 0.0000
0.0000 0.0000 5.1212
Ga Re Ni Pb
1 1 2 1
direct
0.0000 0.0000 0.0000 Ga
0.5000 0.5000 0.0000 Re
0.0000 0.5000 0.5000 Ni
0.5000 0.0000 0.5000 Ni
0.0000 0.0000 0.5000 Pb
```

Output
- Volume: 114 Å³ per cell
- Formation energy from the elements: 1.960 eV per atom
- DFT total energy: -4.189 eV/atom
- Symmetry: P4/mmm, No. 123
- Fermi-level density of states: 4.4 states/eV/f.u.
- Total magnetization: 3.99 μB/cell



Record 6
Entry from Alexandria: GaNiRhPb2 after structural relaxation (PBE-GGA).

POSCAR file:
```
GaNiRhPb2
1.0
5.2356 0.0000 0.0000
0.0000 5.2356 0.0000
0.0000 0.0000 4.7254
Ga Ni Rh Pb
1 1 1 2
direct
0.0000 0.0000 0.0000 Ga
0.5000 0.5000 0.0000 Ni
0.0000 0.0000 0.5000 Rh
0.0000 0.5000 0.5000 Pb
0.5000 0.0000 0.5000 Pb
```

Output
- Volume: 130 Å³ per cell
- Formation energy from the elements: 0.475 eV per atom
- DFT total energy: -4.241 eV/atom
- Symmetry: P4/mmm, No. 123
- Fermi-level density of states: 2.8 states/eV/f.u.
- Total magnetization: 0.00 μB/cell



Record 7
Entry from Alexandria: Sr2GaNiPb after structural relaxation (PBE-GGA).

POSCAR file:
```
Sr2GaNiPb
1.0
5.7735 0.0000 0.0000
0.0000 5.7735 0.0000
0.0000 0.0000 4.5537
Sr Ga Ni Pb
2 1 1 1
direct
0.0000 0.5000 0.0000 Sr
0.5000 0.0000 0.0000 Sr
0.0000 0.0000 0.5000 Ga
0.0000 0.0000 0.0000 Ni
0.5000 0.5000 0.5000 Pb
```

Output
- Volume: 152 Å³ per cell
- Formation energy from the elements: -0.268 eV per atom
- DFT total energy: -3.444 eV/atom
- Symmetry: P4/mmm, No. 123
- Fermi-level density of states: 2.5 states/eV/f.u.
- Total magnetization: 0.00 μB/cell



Record 8
Entry from Alexandria: TlGa2NiPb after structural relaxation (PBE-GGA).

POSCAR file:
```
TlGa2NiPb
1.0
4.6696 0.0000 0.0000
0.0000 4.6696 0.0000
0.0000 0.0000 5.4319
Tl Ga Ni Pb
1 2 1 1
direct
0.0000 0.0000 0.0000 Tl
0.0000 0.5000 0.5000 Ga
0.5000 0.0000 0.5000 Ga
0.5000 0.5000 0.5000 Ni
0.5000 0.5000 0.0000 Pb
```

Output
- Volume: 118 Å³ per cell
- Formation energy from the elements: 0.004 eV per atom
- DFT total energy: -3.578 eV/atom
- Symmetry: P4/mmm, No. 123
- Fermi-level density of states: 2.6 states/eV/f.u.
- Total magnetization: 0.00 μB/cell



Record 9
Entry from Alexandria: GaNiPbW2 after structural relaxation (PBE-GGA).

POSCAR file:
```
GaNiPbW2
1.0
4.6718 0.0000 0.0000
0.0000 4.6718 0.0000
0.0000 0.0000 4.3592
Ga Ni Pb W
1 1 1 2
direct
0.0000 0.0000 0.0000 Ga
0.0000 0.0000 0.5000 Ni
0.5000 0.5000 0.0000 Pb
0.0000 0.5000 0.5000 W
0.5000 0.0000 0.5000 W
```

Output
- Volume: 95 Å³ per cell
- Formation energy from the elements: 1.173 eV per atom
- DFT total energy: -6.511 eV/atom
- Symmetry: P4/mmm, No. 123
- Fermi-level density of states: 5.9 states/eV/f.u.
- Total magnetization: 0.00 μB/cell



Record 10
Entry from Alexandria: Ga2NiPd after structural relaxation (PBE-GGA).

POSCAR file:
```
Ga2NiPd
1.0
1.9647 1.1343 4.5716
-1.9647 1.1343 4.5716
0.0000 -2.2686 4.5716
Ga Ni Pd
2 1 1
direct
0.0000 0.0000 0.0000 Ga
0.1995 0.1995 0.1995 Ga
0.5839 0.5839 0.5839 Ni
0.7783 0.7783 0.7783 Pd
```

Output
- Volume: 61 Å³ per cell
- Formation energy from the elements: -0.351 eV per atom
- DFT total energy: -4.608 eV/atom
- Symmetry: R3m, No. 160
- Fermi-level density of states: 1.1 states/eV/f.u.
- Total magnetization: 0.00 μB/cell



Record 11
Entry from Alexandria: Ga2NiPd after structural relaxation (PBE-GGA).

POSCAR file:
```
Ga2NiPd
1.0
-3.3580 3.3580 2.7204
3.3580 -3.3580 2.7204
3.3580 3.3580 -2.7204
Ga Ni Pd
4 2 2
direct
0.1053 0.1250 0.4803 Ga
0.3750 0.8947 0.0197 Ga
0.6447 0.6250 0.5197 Ga
0.8750 0.3553 0.9803 Ga
0.0000 0.0000 0.0000 Ni
0.7500 0.2500 0.5000 Ni
0.2500 0.7500 0.5000 Pd
0.5000 0.5000 0.0000 Pd
```

Output
- Volume: 123 Å³ per cell
- Formation energy from the elements: -0.171 eV per atom
- DFT total energy: -4.428 eV/atom
- Symmetry: I-42d, No. 122
- Fermi-level density of states: 1.8 states/eV/f.u.
- Total magnetization: 0.00 μB/cell



Record 12
Entry from Alexandria: GaNiPd after structural relaxation (PBE-GGA).

POSCAR file:
```
GaNiPd
1.0
4.0629 -1.9213 0.0000
4.0629 1.9213 0.0000
-1.1787 0.0000 5.2253
Ga Ni Pd
2 2 2
direct
0.0000 0.0000 0.0000 Ga
0.7079 0.7079 0.4255 Ga
0.3595 0.3595 0.7242 Ni
0.6777 0.6777 0.8823 Ni
0.0337 0.0337 0.5262 Pd
0.3319 0.3319 0.2029 Pd
```

Output
- Volume: 82 Å³ per cell
- Formation energy from the elements: -0.442 eV per atom
- DFT total energy: -5.109 eV/atom
- Symmetry: Cm, No. 8
- Fermi-level density of states: 0.9 states/eV/f.u.
- Total magnetization: 0.00 μB/cell



Record 13
Entry from Alexandria: GaNiPd after structural relaxation (PBE-GGA).

POSCAR file:
```
GaNiPd
1.0
4.0569 -1.9351 0.0000
4.0569 1.9351 0.0000
-1.1060 0.0000 5.2139
Ga Ni Pd
2 2 2
direct
0.0000 0.0000 0.0000 Ga
0.6889 0.6889 0.3903 Ga
0.0124 0.0124 0.4901 Ni
0.3715 0.3715 0.1900 Ni
0.3421 0.3421 0.6690 Pd
0.6756 0.6756 0.8991 Pd
```

Output
- Volume: 82 Å³ per cell
- Formation energy from the elements: -0.411 eV per atom
- DFT total energy: -5.078 eV/atom
- Symmetry: Cm, No. 8
- Fermi-level density of states: 1.0 states/eV/f.u.
- Total magnetization: 0.00 μB/cell



Record 14
Entry from Alexandria: GaNi2Pd8 after structural relaxation (PBE-GGA).

POSCAR file:
```
GaNi2Pd8
1.0
5.7883 -2.5813 0.0000
5.7883 2.5813 0.0000
-2.7806 0.0000 5.6973
Ga Ni Pd
1 2 8
direct
0.0000 0.0000 0.0000 Ga
0.1389 0.1389 0.7743 Ni
0.8611 0.8611 0.2257 Ni
0.1732 0.6657 0.6112 Pd
0.2416 0.2416 0.2279 Pd
0.3343 0.8268 0.3888 Pd
0.3806 0.3806 0.9865 Pd
0.6194 0.6194 0.0135 Pd
0.6657 0.1732 0.6112 Pd
0.7584 0.7584 0.7721 Pd
0.8268 0.3343 0.3888 Pd
```

Output
- Volume: 170 Å³ per cell
- Formation energy from the elements: 0.041 eV per atom
- DFT total energy: -5.062 eV/atom
- Symmetry: C2/m, No. 12
- Fermi-level density of states: 15.4 states/eV/f.u.
- Total magnetization: 2.72 μB/cell



Record 15
Entry from Alexandria: Ga7Ni4Pd after structural relaxation (PBE-GGA).

POSCAR file:
```
Ga7Ni4Pd
1.0
6.0575 -2.2506 0.0000
6.0575 2.2506 0.0000
-5.4204 0.0000 6.6407
Ga Ni Pd
7 4 1
direct
0.0000 0.0000 0.0000 Ga
0.1670 0.1670 0.6116 Ga
0.2858 0.2858 0.1403 Ga
0.4348 0.4348 0.6566 Ga
0.5652 0.5652 0.3434 Ga
0.7142 0.7142 0.8597 Ga
0.8330 0.8330 0.3884 Ga
0.0648 0.0648 0.7776 Ni
0.1982 0.1982 0.3512 Ni
0.8018 0.8018 0.6488 Ni
0.9352 0.9352 0.2224 Ni
0.5000 0.5000 0.0000 Pd
```

Output
- Volume: 181 Å³ per cell
- Formation energy from the elements: -0.184 eV per atom
- DFT total energy: -4.310 eV/atom
- Symmetry: C2/m, No. 12
- Fermi-level density of states: 6.1 states/eV/f.u.
- Total magnetization: 0.00 μB/cell



Record 16
Entry from Alexandria: GaNiPd after structural relaxation (PBE-GGA).

POSCAR file:
```
GaNiPd
1.0
4.1134 0.0000 0.0000
-2.0567 3.5623 0.0000
0.0000 0.0000 2.8034
Ga Ni Pd
1 1 1
direct
0.0000 0.0000 0.0000 Ga
0.6667 0.3333 0.8500 Ni
0.3333 0.6667 0.4154 Pd
```

Output
- Volume: 41 Å³ per cell
- Formation energy from the elements: -0.348 eV per atom
- DFT total energy: -5.015 eV/atom
- Symmetry: P3m1, No. 156
- Fermi-level density of states: 1.7 states/eV/f.u.
- Total magnetization: 0.00 μB/cell



Record 17
Entry from Alexandria: GaNi2Pd2 after structural relaxation (PBE-GGA).

POSCAR file:
```
GaNi2Pd2
1.0
6.5116 0.0000 0.0000
0.0000 6.5116 0.0000
0.0000 0.0000 3.4869
Ga Ni Pd
2 4 4
direct
0.0000 0.0000 0.0000 Ga
0.5000 0.5000 0.0000 Ga
0.1440 0.3560 0.5000 Ni
0.3560 0.8560 0.5000 Ni
0.6440 0.1440 0.5000 Ni
0.8560 0.6440 0.5000 Ni
0.1494 0.6494 0.0000 Pd
0.3506 0.1494 0.0000 Pd
0.6494 0.8506 0.0000 Pd
0.8506 0.3506 0.0000 Pd
```

Output
- Volume: 148 Å³ per cell
- Formation energy from the elements: 0.024 eV per atom
- DFT total energy: -4.972 eV/atom
- Symmetry: P4/mbm, No. 127
- Fermi-level density of states: 6.9 states/eV/f.u.
- Total magnetization: 2.19 μB/cell



Record 18
Entry from Alexandria: GaNi2Pd8 after structural relaxation (PBE-GGA).

POSCAR file:
```
GaNi2Pd8
1.0
5.8077 -3.3106 0.0000
5.8077 3.3106 0.0000
-1.2301 0.0000 4.5686
Ga Ni Pd
1 2 8
direct
0.0000 0.0000 0.0000 Ga
0.1134 0.1134 0.5060 Ni
0.8866 0.8866 0.4940 Ni
0.2214 0.2214 0.0841 Pd
0.2337 0.6338 0.2185 Pd
0.3442 0.3442 0.6627 Pd
0.3662 0.7663 0.7815 Pd
0.6338 0.2337 0.2185 Pd
0.6558 0.6558 0.3373 Pd
0.7663 0.3662 0.7815 Pd
0.7786 0.7786 0.9159 Pd
```

Output
- Volume: 176 Å³ per cell
- Formation energy from the elements: 0.113 eV per atom
- DFT total energy: -4.990 eV/atom
- Symmetry: C2/m, No. 12
- Fermi-level density of states: 17.5 states/eV/f.u.
- Total magnetization: 2.60 μB/cell



Record 19
Entry from Alexandria: Ga6NiPd12 after structural relaxation (PBE-GGA).

POSCAR file:
```
Ga6NiPd12
1.0
5.4128 3.1251 3.3075
-5.4128 3.1251 3.3075
0.0000 -6.2502 3.3075
Ga Ni Pd
6 1 12
direct
0.0264 0.7720 0.6550 Ga
0.2280 0.3450 0.9736 Ga
0.3450 0.9736 0.2280 Ga
0.6550 0.0264 0.7720 Ga
0.7720 0.6550 0.0264 Ga
0.9736 0.2280 0.3450 Ga
0.5000 0.5000 0.5000 Ni
0.0174 0.8841 0.3226 Pd
0.1159 0.6774 0.9826 Pd
0.1855 0.4778 0.6271 Pd
0.3226 0.0174 0.8841 Pd
0.3729 0.8145 0.5222 Pd
0.4778 0.6271 0.1855 Pd
0.5222 0.3729 0.8145 Pd
0.6271 0.1855 0.4778 Pd
0.6774 0.9826 0.1159 Pd
0.8145 0.5222 0.3729 Pd
0.8841 0.3226 0.0174 Pd
0.9826 0.1159 0.6774 Pd
```

Output
- Volume: 336 Å³ per cell
- Formation energy from the elements: -0.308 eV per atom
- DFT total energy: -4.848 eV/atom
- Symmetry: R-3, No. 148
- Fermi-level density of states: 11.6 states/eV/f.u.
- Total magnetization: 0.93 μB/cell



Record 20
Entry from Alexandria: GaNiPd after structural relaxation (PBE-GGA).

POSCAR file:
```
GaNiPd
1.0
-1.4655 1.4655 9.9046
1.4655 -1.4655 9.9046
1.4655 1.4655 -9.9046
Ga Ni Pd
2 2 2
direct
0.1459 0.1459 0.0000 Ga
0.8541 0.8541 0.0000 Ga
0.2864 0.2864 0.0000 Ni
0.7136 0.7136 0.0000 Ni
0.4329 0.4329 0.0000 Pd
0.5671 0.5671 0.0000 Pd
```

Output
- Volume: 85 Å³ per cell
- Formation energy from the elements: -0.321 eV per atom
- DFT total energy: -4.988 eV/atom
- Symmetry: I4/mmm, No. 139
- Fermi-level density of states: 1.6 states/eV/f.u.
- Total magnetization: 0.00 μB/cell



Record 21
Entry from Alexandria: GaNiPd after structural relaxation (PBE-GGA).

POSCAR file:
```
GaNiPd
1.0
3.5731 0.0000 0.0000
0.0000 3.5731 0.0000
0.0000 0.0000 6.5100
Ga Ni Pd
2 2 2
direct
0.2500 0.2500 0.2463 Ga
0.7500 0.7500 0.7537 Ga
0.2500 0.7500 0.5000 Ni
0.7500 0.2500 0.5000 Ni
0.2500 0.2500 0.8563 Pd
0.7500 0.7500 0.1437 Pd
```

Output
- Volume: 83 Å³ per cell
- Formation energy from the elements: -0.452 eV per atom
- DFT total energy: -5.119 eV/atom
- Symmetry: P4/nmm, No. 129
- Fermi-level density of states: 1.7 states/eV/f.u.
- Total magnetization: 0.00 μB/cell



Record 22
Entry from Alexandria: GaNiPd after structural relaxation (PBE-GGA).

POSCAR file:
```
GaNiPd
1.0
3.4926 -2.0095 0.0000
3.4926 2.0095 0.0000
-2.3196 0.0000 6.1969
Ga Ni Pd
2 2 2
direct
0.0717 0.0717 0.2145 Ga
0.9283 0.9283 0.7855 Ga
0.3613 0.3613 0.0839 Ni
0.6387 0.6387 0.9161 Ni
0.2125 0.2125 0.6389 Pd
0.7875 0.7875 0.3611 Pd
```

Output
- Volume: 87 Å³ per cell
- Formation energy from the elements: -0.327 eV per atom
- DFT total energy: -4.994 eV/atom
- Symmetry: C2/m, No. 12
- Fermi-level density of states: 1.5 states/eV/f.u.
- Total magnetization: 0.00 μB/cell



Record 23
Entry from Alexandria: Ga6Ni12Pd after structural relaxation (PBE-GGA).

POSCAR file:
```
Ga6Ni12Pd
1.0
5.3238 3.0737 2.5759
-5.3238 3.0737 2.5759
0.0000 -6.1474 2.5759
Ga Ni Pd
6 12 1
direct
0.2879 0.2879 0.7055 Ga
0.2879 0.7055 0.2879 Ga
0.2945 0.7121 0.7121 Ga
0.7055 0.2879 0.2879 Ga
0.7121 0.2945 0.7121 Ga
0.7121 0.7121 0.2945 Ga
0.1152 0.5000 0.8848 Ni
0.1152 0.8848 0.5000 Ni
0.1260 0.3648 0.3648 Ni
0.3648 0.1260 0.3648 Ni
0.3648 0.3648 0.1260 Ni
0.5000 0.1152 0.8848 Ni
0.5000 0.8848 0.1152 Ni
0.6352 0.6352 0.8740 Ni
0.6352 0.8740 0.6352 Ni
0.8740 0.6352 0.6352 Ni
0.8848 0.1152 0.5000 Ni
0.8848 0.5000 0.1152 Ni
0.0000 0.0000 0.0000 Pd
```

Output
- Volume: 253 Å³ per cell
- Formation energy from the elements: -0.052 eV per atom
- DFT total energy: -4.932 eV/atom
- Symmetry: R-3m, No. 166
- Fermi-level density of states: 14.5 states/eV/f.u.
- Total magnetization: 0.00 μB/cell



Record 24
Entry from Alexandria: Ga2NiPd7 after structural relaxation (PBE-GGA).

POSCAR file:
```
Ga2NiPd7
1.0
3.6442 -6.2494 0.0000
3.6442 6.2494 0.0000
0.0000 0.0000 4.1307
Ga Ni Pd
2 1 7
direct
0.1961 0.8039 0.0000 Ga
0.8039 0.1961 0.0000 Ga
0.5000 0.5000 0.5000 Ni
0.0000 0.0000 0.0000 Pd
0.2035 0.4243 0.0000 Pd
0.2962 0.7038 0.5000 Pd
0.4243 0.2035 0.0000 Pd
0.5757 0.7965 0.0000 Pd
0.7038 0.2962 0.5000 Pd
0.7965 0.5757 0.0000 Pd
```

Output
- Volume: 188 Å³ per cell
- Formation energy from the elements: 0.107 eV per atom
- DFT total energy: -4.711 eV/atom
- Symmetry: Cmmm, No. 65
- Fermi-level density of states: 10.2 states/eV/f.u.
- Total magnetization: 1.02 μB/cell